[1]
## TbPm2ScTe5 (PBE)

Data for crystalline TbPm2ScTe5 at its relaxed geometry.

Cell: 5.5854 5.5854 11.1389 Å, 90.00 90.00 90.00°
Last column: nearest neighbours and their distance in Å.
Sites, in units of the cell vectors:
Tb: 0.0000 0.0000 0.0000  6 Te 2.79-2.92
Pm: 0.5000 0.5000 0.1714  5 Te 3.38-3.66
Pm: 0.5000 0.5000 0.8286  5 Te 3.38-3.66
Sc: 0.0000 0.0000 0.5000  2 Te 2.65
Te: 0.0000 0.0000 0.2623  1 Sc 2.65, 1 Tb 2.92
Te: 0.0000 0.0000 0.7377  1 Sc 2.65, 1 Tb 2.92
Te: 0.0000 0.5000 0.0000  2 Tb 2.79
Te: 0.5000 0.0000 0.0000  2 Tb 2.79
Te: 0.5000 0.5000 0.5000  2 Pm 3.66, 4 Sc 3.95

Values from the calculation:
**DOS(E_F)**: 0.561 states/eV/atom
**Magnetization**: 0.95 Bohr magnetons per cell
**Formation energy (no corrections)**: -616 kJ/mol of formula units

[2]
## AlAg3 (PBE)

Data for crystalline AlAg3 at its relaxed geometry.

Cell: 5.9436 3.0254 8.2235 Å, 90.00 110.43 90.00°
Last column: nearest neighbours and their distance in Å.
Sites, in units of the cell vectors:
Al: 0.1875 0.2500 0.1313  7 Ag 2.73-2.80, 4 Al 2.93-3.03
Al: 0.8125 0.7500 0.8687  7 Ag 2.73-2.80, 4 Al 2.93-3.03
Ag: 0.0697 0.7500 0.3748  2 Al 2.79, 10 Ag 2.90-3.03
Ag: 0.2948 0.7500 0.8924  3 Al 2.73-2.80, 8 Ag 2.89-3.03
Ag: 0.4463 0.2500 0.6415  2 Al 2.77, 10 Ag 2.93-3.03
Ag: 0.5537 0.7500 0.3585  2 Al 2.77, 10 Ag 2.93-3.03
Ag: 0.7052 0.2500 0.1076  3 Al 2.73-2.80, 8 Ag 2.89-3.03
Ag: 0.9303 0.2500 0.6252  2 Al 2.79, 10 Ag 2.90-3.03

Values from the calculation:
**DOS(E_F)**: 0.327 states/eV/atom
**Magnetization**: 0.00 Bohr magnetons per cell
**Calculated formation energy**: -36 meV/atom

[3]
## BaHo4Cd5 (PBE)

Data for crystalline BaHo4Cd5 at its relaxed geometry.

Cell: 3.7941 3.7941 19.3761 Å, 90.00 90.00 90.00°
Last column: nearest neighbours and their distance in Å.
Sites, in units of the cell vectors:
Ba: 0.0000 0.0000 0.0000  8 Cd 3.66, 4 Ba 3.79
Ho: 0.0000 0.0000 0.2180  8 Cd 3.19-3.24
Ho: 0.0000 0.0000 0.4065  8 Cd 3.24-3.25, 1 Ho 3.62
Ho: 0.0000 0.0000 0.5935  8 Cd 3.24-3.25, 1 Ho 3.62
Ho: 0.0000 0.0000 0.7820  8 Cd 3.19-3.24
Cd: 0.5000 0.5000 0.1287  4 Ho 3.19, 1 Cd 3.55
Cd: 0.5000 0.5000 0.3120  8 Ho 3.24-3.25, 1 Cd 3.55
Cd: 0.5000 0.5000 0.5000  8 Ho 3.24
Cd: 0.5000 0.5000 0.6880  8 Ho 3.24-3.25, 1 Cd 3.55
Cd: 0.5000 0.5000 0.8713  4 Ho 3.19, 1 Cd 3.55

Values from the calculation:
**DOS(E_F)**: 0.898 states/eV/atom
**Magnetization**: 0.00 Bohr magnetons per cell
**Calculated formation energy**: -301 meV/atom

[4]
## AcMnRu (PBE)

Data for crystalline AcMnRu at its relaxed geometry.

Cell: 5.5426 5.5426 5.5426 Å, 119.07 117.87 92.67°
Last column: nearest neighbours and their distance in Å.
Sites, in units of the cell vectors:
Ac: 0.3674 0.1174 0.2500  6 Ru 3.14-3.34, 6 Mn 3.26-3.28, 4 Ac 3.38-3.47
Ac: 0.6326 0.8826 0.7500  6 Ru 3.14-3.34, 6 Mn 3.26-3.28, 4 Ac 3.38-3.47
Mn: 0.0000 0.5000 0.5000  4 Ru 2.77, 2 Mn 2.86
Mn: 0.5000 0.5000 0.0000  4 Ru 2.77, 2 Mn 2.86
Ru: 0.0000 0.0000 0.5000  4 Mn 2.77, 2 Ru 2.81
Ru: 0.0000 0.5000 0.0000  4 Mn 2.77, 2 Ru 2.81

Values from the calculation:
**DOS(E_F)**: 1.168 states/eV/atom
**Magnetization**: 6.33 Bohr magnetons per cell
**Calculated formation energy**: 108 meV/atom

[5]
## Na3MgC2O6 (PBE)

Data for crystalline Na3MgC2O6 at its relaxed geometry.

Cell: 5.1204 5.1204 6.2760 Å, 90.00 90.00 120.00°
Last column: nearest neighbours and their distance in Å.
Sites, in units of the cell vectors:
Na: 0.0000 0.0000 0.0000  6 O 2.41
Na: 0.3333 0.6667 0.7302  6 O 2.57
Na: 0.6667 0.3333 0.2698  6 O 2.57
Mg: 0.0000 0.0000 0.5000  6 O 2.14
C: 0.3333 0.6667 0.2598  3 O 1.32
C: 0.6667 0.3333 0.7402  3 O 1.32
O: 0.1849 0.3698 0.2804  1 C 1.32
O: 0.1849 0.8151 0.2804  1 C 1.32
O: 0.3698 0.1849 0.7196  1 C 1.32
O: 0.6302 0.8151 0.2804  1 C 1.32
O: 0.8151 0.1849 0.7196  1 C 1.32
O: 0.8151 0.6302 0.7196  1 C 1.32

Values from the calculation:
**DOS(E_F)**: 0.166 states/eV/atom
**Magnetization**: 0.19 Bohr magnetons per cell
**Formation energy (no corrections)**: -1853 kJ/mol of formula units

[6]
## TbDy4Y5 (PBE)

Data for crystalline TbDy4Y5 at its relaxed geometry.

Cell: 3.5391 8.8411 10.8649 Å, 89.96 90.00 78.51°
Last column: nearest neighbours and their distance in Å.
Sites, in units of the cell vectors:
Tb: 0.0000 0.0000 0.0000  4 Dy 3.27, 2 Tb 3.54, 4 Y 3.54-3.55
Dy: 0.1509 0.6986 0.7503  4 Dy 3.53-3.54, 7 Y 3.70-3.80, 1 Tb 3.77
Dy: 0.4752 0.0510 0.7506  2 Tb 3.27, 4 Y 3.28-3.32, 4 Dy 3.53-3.54
Dy: 0.5248 0.9490 0.2494  2 Tb 3.27, 4 Y 3.28-3.32, 4 Dy 3.53-3.54
Dy: 0.8491 0.3014 0.2497  4 Dy 3.53-3.54, 7 Y 3.70-3.80, 1 Tb 3.77
Y: 0.0000 0.0000 0.5000  4 Dy 3.28, 6 Y 3.54-3.55
Y: 0.3262 0.3475 0.9438  2 Dy 3.32-3.70, 4 Y 3.41-3.54, 2 Tb 3.54-3.55
Y: 0.3260 0.3478 0.5564  2 Dy 3.32-3.70, 6 Y 3.40-3.55
Y: 0.6740 0.6522 0.4436  2 Dy 3.32-3.70, 6 Y 3.40-3.55
Y: 0.6738 0.6525 0.0562  2 Dy 3.32-3.70, 4 Y 3.41-3.54, 2 Tb 3.54-3.55

Values from the calculation:
**DOS(E_F)**: 1.397 states/eV/atom
**Energy relative to the lowest polymorph listed for this composition**: 0.0000 eV/atom
**Magnetization**: 0.00 Bohr magnetons per cell
**Calculated formation energy**: 184 meV/atom